Entry 1:
# CaP2Se

An optimized crystal structure of CaP2Se (PBE-GGA, the Alexandria database).

Geometry as extended XYZ:
```
4
Lattice="-0.375 2.939 5.205 -3.115 -1.796 4.790 3.944 -1.926 -4.074" Properties=species:S:1:pos:R:3 pbc="T T T"
Ca 0.912 0.792 3.064
P -3.490 1.143 9.993
P -1.745 0.571 4.998
Se -0.458 -1.576 2.856
```

Computed properties:
**DOS(E_F)**: 2.30 states/eV/f.u.
**Space-group type**: I4/mmm (139)
**Uncorrected formation energy**: -0.266 eV/atom
**Energy**: -4.3423 eV per atom

=====

Entry 2:
# H2PtRh

An optimized crystal structure of H2PtRh (PBE-GGA, the Alexandria database).

Geometry as extended XYZ:
```
4
Lattice="-2.247 -1.810 0.190 0.443 -2.800 0.570 -0.937 -0.621 5.008" Properties=species:S:1:pos:R:3 pbc="T T T"
H -0.664 -1.365 1.142
H -2.077 -3.865 4.626
Rh 0.000 0.000 0.000
Pt -1.371 -2.615 2.884
```

Computed properties:
**DOS(E_F)**: 3.33 states/eV/f.u.
**Space-group type**: R-3m (166)
**Relative energy among the computed polymorphs**: 52 meV per atom
**Energy**: -4.9213 eV per atom

=====

Entry 3:
# ReRhBr2

An optimized crystal structure of ReRhBr2 (PBE-GGA, the Alexandria database).

Geometry as extended XYZ:
```
8
Lattice="-1.224 -4.183 -0.824 0.364 -0.956 4.316 -7.994 -0.568 2.828" Properties=species:S:1:pos:R:3 pbc="T T T"
Re 0.000 0.000 0.000
Re -4.824 -3.661 1.875
Rh -0.430 -2.570 1.746
Rh -4.030 -2.047 4.445
Br -2.728 -2.910 0.725
Br -1.914 -1.228 3.308
Br -6.321 -2.346 3.395
Br -6.746 -4.931 5.212
```

Computed properties:
**DOS(E_F)**: 3.83 states/eV/f.u.
**Space-group type**: I-42d (122)
**Relative energy among the computed polymorphs**: 794 meV per atom
**Uncorrected formation energy**: 1.051 eV/atom
**Energy**: -4.7349 eV per atom

=====

Entry 4:
# Re2RhPb

An optimized crystal structure of Re2RhPb (PBE-GGA, the Alexandria database).

Geometry as extended XYZ:
```
8
Lattice="6.054 0.000 0.000 0.000 6.054 0.000 3.027 3.027 5.504" Properties=species:S:1:pos:R:3 pbc="T T T"
Pb 0.000 0.000 0.000
Pb 6.054 3.027 2.752
Re 4.253 1.513 1.376
Re 1.801 4.540 1.376
Re 4.540 4.828 4.128
Re 7.567 7.280 4.128
Rh 3.027 3.027 0.000
Rh 3.027 6.054 2.752
```

Computed properties:
**DOS(E_F)**: 6.77 states/eV/f.u.
**Space-group type**: I-42d (122)
**Energy**: -7.2198 eV per atom
**Energy of formation from the pure elements**: 7.08 eV per formula unit

=====

energy of number 2 (H2PtRh)?
-4.9213 eV per atom

=====

Which formula does entry 1 have?
CaP2Se